Record 1
GGA-PBE Li3Pm5Bi12, optimized geometry; ΔE_f = -158 meV per atom
1.0
-9.023 9.023 9.023
9.023 -9.023 9.023
9.023 9.023 -9.023
Li Pm Bi
12 20 48
direct
0.125 0.250 0.375 Li
0.125 0.375 0.750 Li
0.250 0.375 0.125 Li
0.250 0.875 0.625 Li
0.375 0.125 0.250 Li
0.375 0.750 0.125 Li
0.625 0.250 0.875 Li
0.625 0.875 0.750 Li
0.750 0.125 0.375 Li
0.750 0.625 0.875 Li
0.875 0.625 0.250 Li
0.875 0.750 0.625 Li
0.000 0.000 0.000 Pm
0.000 0.000 0.500 Pm
0.000 0.500 0.000 Pm
0.000 0.500 0.500 Pm
0.125 0.750 0.875 Pm
0.125 0.875 0.250 Pm
0.250 0.125 0.875 Pm
0.250 0.625 0.375 Pm
0.375 0.250 0.625 Pm
0.375 0.625 0.750 Pm
0.500 0.000 0.000 Pm
0.500 0.000 0.500 Pm
0.500 0.500 0.000 Pm
0.500 0.500 0.500 Pm
0.625 0.375 0.250 Pm
0.625 0.750 0.375 Pm
0.750 0.375 0.625 Pm
0.750 0.875 0.125 Pm
0.875 0.125 0.750 Pm
0.875 0.250 0.125 Pm
0.047 0.624 0.373 Bi
0.047 0.922 0.674 Bi
0.078 0.251 0.124 Bi
0.078 0.326 0.953 Bi
0.124 0.078 0.251 Bi
0.124 0.547 0.873 Bi
0.127 0.751 0.674 Bi
0.127 0.876 0.453 Bi
0.174 0.251 0.627 Bi
0.174 0.422 0.547 Bi
0.249 0.326 0.873 Bi
0.249 0.422 0.376 Bi
0.251 0.124 0.078 Bi
0.251 0.627 0.174 Bi
0.326 0.873 0.249 Bi
0.326 0.953 0.078 Bi
0.373 0.047 0.624 Bi
0.373 0.826 0.749 Bi
0.376 0.249 0.422 Bi
0.376 0.627 0.953 Bi
0.422 0.376 0.249 Bi
0.422 0.547 0.174 Bi
0.453 0.127 0.876 Bi
0.453 0.826 0.578 Bi
0.547 0.174 0.422 Bi
0.547 0.873 0.124 Bi
0.578 0.453 0.826 Bi
0.578 0.624 0.751 Bi
0.624 0.373 0.047 Bi
0.624 0.751 0.578 Bi
0.627 0.174 0.251 Bi
0.627 0.953 0.376 Bi
0.674 0.047 0.922 Bi
0.674 0.127 0.751 Bi
0.749 0.373 0.826 Bi
0.749 0.876 0.922 Bi
0.751 0.578 0.624 Bi
0.751 0.674 0.127 Bi
0.826 0.578 0.453 Bi
0.826 0.749 0.373 Bi
0.873 0.124 0.547 Bi
0.873 0.249 0.326 Bi
0.876 0.453 0.127 Bi
0.876 0.922 0.749 Bi
0.922 0.674 0.047 Bi
0.922 0.749 0.876 Bi
0.953 0.078 0.326 Bi
0.953 0.376 0.627 Bi

Record 2
GGA-PBE V2Pd2Rh, optimized geometry; ΔE_f = -178 meV per atom
1.0
2.205 -6.939 0.000
2.205 6.939 0.000
0.000 0.000 4.781
V Pd Rh
4 4 2
direct
0.051 0.949 0.500 V
0.266 0.734 0.632 V
0.734 0.266 0.132 V
0.949 0.051 0.000 V
0.346 0.654 0.144 Pd
0.453 0.547 0.661 Pd
0.547 0.453 0.161 Pd
0.654 0.346 0.644 Pd
0.149 0.851 0.011 Rh
0.851 0.149 0.511 Rh

Record 3
GGA-PBE TiGaOsRh, optimized geometry; ΔE_f = -634 meV per atom
1.0
3.106 0.000 0.000
0.000 3.106 0.000
0.000 0.000 5.999
Ti Ga Os Rh
1 1 1 1
direct
0.000 0.000 0.000 Ti
0.000 0.000 0.494 Ga
0.500 0.500 0.241 Os
0.500 0.500 0.739 Rh

Record 4
GGA-PBE LaCdSCl2, optimized geometry; formation energy (no corrections) = -1.30 eV per atom
1.0
5.529 0.000 0.000
0.000 5.529 0.000
0.000 0.000 5.660
La Cd S Cl
1 1 1 2
direct
0.000 0.000 0.000 La
0.500 0.500 0.500 Cd
0.000 0.000 0.500 S
0.000 0.500 0.000 Cl
0.500 0.000 0.000 Cl

Record 5
GGA-PBE Li2AlO, optimized geometry; formation energy (no corrections) = -0.75 eV per atom
1.0
5.742 0.000 0.000
0.000 5.742 0.000
0.000 0.000 8.109
Li Al O
8 4 4
direct
0.009 0.250 0.125 Li
0.250 0.509 0.375 Li
0.250 0.991 0.875 Li
0.491 0.250 0.625 Li
0.509 0.750 0.625 Li
0.750 0.009 0.875 Li
0.750 0.491 0.375 Li
0.991 0.750 0.125 Li
0.000 0.000 0.500 Al
0.000 0.500 0.750 Al
0.500 0.000 0.250 Al
0.500 0.500 0.000 Al
0.000 0.000 0.000 O
0.000 0.500 0.250 O
0.500 0.000 0.750 O
0.500 0.500 0.500 O

Record 6
GGA-PBE SmDy2Sc3P6, optimized geometry; ΔE_f = -1523 meV per atom
1.0
3.384 -5.860 0.000
3.384 5.860 0.000
-2.254 0.000 6.351
Sm Dy Sc P
1 2 3 6
direct
0.000 0.000 0.000 Sm
0.333 0.667 0.000 Dy
0.667 0.333 0.000 Dy
0.166 0.834 0.500 Sc
0.500 0.500 0.500 Sc
0.834 0.166 0.500 Sc
0.089 0.426 0.267 P
0.248 0.248 0.733 P
0.426 0.089 0.267 P
0.574 0.911 0.733 P
0.752 0.752 0.267 P
0.911 0.574 0.733 P

no.,total DFT energy (no corrections) (eV per atom)
1,-3.96
2,-7.37
3,-8.01
4,-4.03
5,-3.89
6,-6.97